A relaxed structure of AlCu2Ru2. Source: Alexandria, functional PBE-GGA.

Cell: 6.4208 6.4208 3.5243 Å, 90.00 90.00 90.00°
Closest atoms and distances in Å follow each position.
Atoms (fractional coordinates):
Al (0.0000, 0.0000, 0.0000)  4 Ru 2.50
Al (0.5000, 0.5000, 0.0000)  4 Ru 2.50
Cu (0.1669, 0.3331, 0.5000)  6 Ru 2.53-2.62
Cu (0.3331, 0.8331, 0.5000)  6 Ru 2.53-2.62
Cu (0.6669, 0.1669, 0.5000)  6 Ru 2.53-2.62
Cu (0.8331, 0.6669, 0.5000)  6 Ru 2.53-2.62
Ru (0.1339, 0.6339, 0.0000)  1 Ru 2.43, 2 Al 2.50, 6 Cu 2.53-2.62
Ru (0.3661, 0.1339, 0.0000)  1 Ru 2.43, 2 Al 2.50, 6 Cu 2.53-2.62
Ru (0.6339, 0.8661, 0.0000)  1 Ru 2.43, 2 Al 2.50, 6 Cu 2.53-2.62
Ru (0.8661, 0.3661, 0.0000)  1 Ru 2.43, 2 Al 2.50, 6 Cu 2.53-2.62

Energy relative to the lowest polymorph listed for this composition, eV per formula unit: 0.10
E_tot, eV per atom: -5.858
Size of the total moment, Bohr magnetons per cell: 0.01
Formation enthalpy at 0 K, eV per formula unit: 1.2